## TiCdO2F (meta-GGA SCAN)

Data for TiCdO2F at its PBEsol-relaxed geometry.

Cell: 3.878 3.878 3.978 Å, 90.00 90.00 90.00°
Sites, in units of the cell vectors:
F: 0.000 0.000 0.500
Ti: 0.000 0.000 0.000
O: 0.000 0.500 0.000
O: 0.500 0.000 0.000
Cd: 0.500 0.500 0.500

Values from the calculation:
The space group is P4/mmm (123). As for the energy relative to the elements, uncorrected: -2.355 eV/atom. As for the calculated volume: 59.8 Å³/cell.


## Fe5Ni (meta-GGA SCAN)

Data for Fe5Ni at its PBEsol-relaxed geometry.

Cell: 2.843 3.943 6.056 Å, 90.00 103.57 90.00°
Last column: magnetic moment on the atom in μB.
Sites, in units of the cell vectors:
Fe: 0.334 0.500 0.668  2.59
Fe: 0.167 0.000 0.335  2.76
Fe: 0.000 0.500 0.000  2.90
Fe: 0.833 0.000 0.665  2.76
Fe: 0.666 0.500 0.332  2.59
Ni: 0.500 0.000 0.000  1.00

Values from the calculation:
As for the energy above the most stable polymorph in this dataset: 0.0 meV/atom. The calculation puts the calculated formation energy at -76 meV/atom. The space group is Cmmm (65). As for the calculated volume: 66.0 Å³/cell.


## SrCdRh2 (meta-GGA SCAN)

Data for SrCdRh2 at its PBEsol-relaxed geometry.

Cell: 3.003 4.988 5.540 Å, 110.36 105.73 90.00°
Sites, in units of the cell vectors:
Cd: 0.273 0.815 0.546
Rh: 0.023 0.959 0.046
Rh: 0.719 0.284 0.438
Sr: 0.485 0.442 0.969

Values from the calculation:
The calculation puts the calculated formation energy at -29 meV/atom. The space group is Cm (8). As for the calculated volume: 74.5 Å³/cell.


## Cr3BI (meta-GGA SCAN)

Data for Cr3BI at its PBEsol-relaxed geometry.

Cell: 4.008 4.008 4.008 Å, 90.00 90.00 90.00°
Last column: magnetic moment on the atom in μB.
Sites, in units of the cell vectors:
I: 0.500 0.500 0.500  -0.03
Cr: 0.000 0.500 0.000  2.74
Cr: 0.000 0.000 0.500  2.74
Cr: 0.500 0.000 0.000  2.74
B: 0.000 0.000 0.000  -0.24

Values from the calculation:
As for the energy above the most stable polymorph in this dataset: 0.0 meV/atom. The space group is Pm-3m (221). As for the energy relative to the elements, uncorrected: 0.718 eV/atom. As for the calculated volume: 64.4 Å³/cell.